## SnHgBr6 (PBE)

Data for a relaxed SnHgBr6 crystal.

Computed properties:
Total moment (μB/f.u.): 0.0
Raw formation energy (eV/atom): -0.47

```
SnHgBr6
1.0
6.840 0.000 0.000
-3.264 6.305 0.000
-2.550 -2.041 6.345
Sn Hg Br
1 1 6
Direct
0.000 0.000 0.000
0.000 0.500 0.500
0.169 0.429 0.256
0.188 0.226 0.777
0.423 0.055 0.234
0.577 0.945 0.766
0.812 0.774 0.223
0.831 0.571 0.744
```